1.
# Pr8Al2Ir

A relaxed Pr8Al2Ir crystal (GGA-PBE, Alexandria via LeMat-Bulk).

Values from the calculation:
energy relative to the elements	-0.244	eV per atom

abc: 18.9890 5.2156 6.9550
angles: 90.00 104.38 90.00
Last column: nearest neighbours and their distance in Å.
Space group C2/m (No. 12)
Inequivalent atoms, fractional coordinates:
Pr1 0.0196 0.0000 0.2828 x4  2 Ir 3.08, 1 Al 3.25, 1 Pr 3.29
Pr2 0.0934 0.5000 0.9427 x4  1 Ir 3.15, 2 Al 3.48, 3 Pr 3.49-3.51
Pr3 0.1516 0.5000 0.4628 x4  1 Ir 2.95, 3 Al 3.21-3.30
Pr4 0.2102 0.0000 0.7945 x4  3 Al 3.19-3.31, 3 Pr 3.48-3.53
Al1 0.1850 0.0000 0.2312 x4  9 Pr 3.19-3.48
Ir1 0.0000 0.5000 0.5000 x2  8 Pr 2.95-3.15

=====

2.
# Rb2CaOs

A relaxed Rb2CaOs crystal (GGA-PBE, Alexandria via LeMat-Bulk).

Values from the calculation:
energy relative to the elements	1.469	eV per atom
energy above the most stable polymorph in this dataset	120	meV per atom

abc: 8.3583 8.3583 8.3583
angles: 90.00 90.00 90.00
Last column: nearest neighbours and their distance in Å.
Space group Fm-3m (No. 225)
Inequivalent atoms, fractional coordinates:
Rb1 0.2500 0.2500 0.2500 x8  4 Os 3.62, 4 Ca 3.62
Ca1 0.0000 0.0000 0.0000 x4  8 Rb 3.62
Os1 0.0000 0.0000 0.5000 x4  8 Rb 3.62

=====

3.
# Li4Er3TmSe8

A relaxed Li4Er3TmSe8 crystal (GGA-PBE, Alexandria via LeMat-Bulk).

Values from the calculation:
energy relative to the elements, uncorrected	-1.70	eV per atom

abc: 8.0643 8.0643 19.4681
angles: 90.00 90.00 120.00
Last column: nearest neighbours and their distance in Å.
Space group R-3m (No. 166, hexagonal axes)
Inequivalent atoms, fractional coordinates:
Li1 0.0000 0.0000 0.0000 x3  6 Se 2.84
Li2 0.0000 0.5000 0.0000 x9  6 Se 2.83
Er1 0.0000 0.5000 0.5000 x9  6 Se 2.84
Tm1 0.0000 0.0000 0.5000 x3  6 Se 2.84
Se1 0.0000 0.0000 0.2505 x6  3 Li 2.83, 3 Er 2.84
Se2 0.0011 0.5005 0.2504 x18  3 Li 2.83-2.84, 1 Tm 2.84, 2 Er 2.84

=====

4.
# KCdN2Cl

A relaxed KCdN2Cl crystal (GGA-PBE, Alexandria via LeMat-Bulk).

Values from the calculation:
energy relative to the elements, uncorrected	1.71	eV per atom

abc: 5.1585 5.1585 7.6806
angles: 90.00 90.00 90.00
Last column: nearest neighbours and their distance in Å.
Space group P4/mmm (No. 123)
Inequivalent atoms, fractional coordinates:
K1 0.0000 0.0000 0.0000 x1  4 N 2.58
Cd1 0.0000 0.0000 0.5000 x1  4 Cl 3.65, 2 K 3.84
N1 0.0000 0.5000 0.0000 x2  2 K 2.58
Cl1 0.5000 0.5000 0.5000 x1  4 Cd 3.65

=====

5.
# Ti4ZnCd

A relaxed Ti4ZnCd crystal (GGA-PBE, Alexandria via LeMat-Bulk).

Values from the calculation:
energy relative to the elements	-0.107	eV per atom

abc: 2.8509 2.8509 12.7760
angles: 90.00 90.00 90.00
Last column: nearest neighbours and their distance in Å.
Space group P4/mmm (No. 123)
Inequivalent atoms, fractional coordinates:
Ti1 0.0000 0.0000 0.1558 x2  4 Zn 2.83, 8 Ti 2.84-2.85
Ti2 0.5000 0.5000 0.3125 x2  8 Ti 2.84-2.85, 4 Cd 3.13
Zn1 0.5000 0.5000 0.0000 x1  8 Ti 2.83, 4 Zn 2.85
Cd1 0.0000 0.0000 0.5000 x1  4 Cd 2.85, 8 Ti 3.13

=====

no.,mass density (kg/m3)
1,6836
2,4564
3,6044
4,1747
5,5905